Compound: KScMo
Source: the Alexandria database
Functional: meta-GGA SCAN
Structure: single point on PBEsol structure

Unit cell a=4.9470 b=4.9470 c=4.9470 alpha=60.00 beta=60.00 gamma=60.00
With the nearest neighbours (Å) after each atom.
Fractional coordinates of all 3 atoms:
K (0.5000, 0.5000, 0.5000)  4 Mo 3.03
Mo (0.2500, 0.2500, 0.2500)  4 K 3.03, 4 Sc 3.03
Sc (0.0000, 0.0000, 0.0000)  4 Mo 3.03

- Uncorrected energy: -17.299 eV per atom
- Formation energy: 1.852 eV/atom
- Space-group type: F-43m
- E above lowest polymorph: 97.4 kJ/mol of atoms